a) The following is a DFT calculation (PBE) of a relaxed RbBeNb crystal.

a b c (Å): 3.807 12.295 4.521
angles (deg): 99.14 65.21 97.53
Element x y z (fractional)
Be 0.188 0.475 0.338
Be 0.037 0.317 0.507
Rb 0.346 0.090 0.695
Rb 0.880 0.702 0.148
Nb 0.488 0.450 0.719
Nb 0.738 0.342 0.126

Density of states at the Fermi level   0.694 states/eV per atom
Size of the total moment   0.00 μB/f.u.

---

b) The following is a DFT calculation (PBE) of a relaxed RbBeNb crystal.

a b c (Å): 8.307 2.784 11.245
angles (deg): 90.00 90.00 90.00
Element x y z (fractional)
Be 0.316 0.250 0.782
Be 0.684 0.750 0.218
Be 0.816 0.250 0.718
Be 0.184 0.750 0.282
Rb 0.851 0.250 0.427
Rb 0.351 0.250 0.073
Rb 0.149 0.750 0.573
Rb 0.649 0.750 0.927
Nb 0.041 0.750 0.874
Nb 0.459 0.250 0.374
Nb 0.959 0.250 0.126
Nb 0.541 0.750 0.626

Density of states at the Fermi level   0.818 states/eV per atom
Size of the total moment   0.00 μB/f.u.

---

c) The following is a DFT calculation (PBE) of a relaxed RbBeNb crystal.

a b c (Å): 4.482 4.482 9.845
angles (deg): 90.00 90.00 90.00
Each line ends with the local moment (μB).
Element x y z (fractional)
Nb 0.500 0.000 0.429  0.43
Nb 0.000 0.500 0.571  0.45
Be 0.000 0.000 0.500  0.01
Be 0.500 0.500 0.500  0.02
Rb 0.500 0.000 0.803  0.02
Rb 0.000 0.500 0.197  0.02

Density of states at the Fermi level   0.949 states/eV per atom
Size of the total moment   0.80 μB/f.u.

---

d) The following is a DFT calculation (PBE) of a relaxed RbBeNb crystal.

a b c (Å): 3.804 12.837 4.897
angles (deg): 73.22 90.00 107.39
Element x y z (fractional)
Be 0.135 0.336 0.022
Be 0.145 0.345 0.505
Rb 0.409 0.111 0.656
Rb 0.515 0.712 0.466
Nb 0.732 0.431 0.698
Nb 0.741 0.440 0.184

Density of states at the Fermi level   0.865 states/eV per atom
Size of the total moment   0.00 μB/f.u.

---

Here is how they stack up, most stable first: a), d), c), b).

---

a) The following is a DFT calculation (PBE) of a relaxed RbBeNb3 crystal.

a b c (Å): 4.756 4.756 4.756
angles (deg): 90.00 90.00 90.00
Element x y z (fractional)
Nb 0.500 0.000 0.000
Nb 0.000 0.000 0.500
Nb 0.000 0.500 0.000
Be 0.500 0.500 0.500
Rb 0.000 0.000 0.000

Density of states at the Fermi level   0.282 states/eV per atom
Size of the total moment   0.00 μB/f.u.

---

b) The following is a DFT calculation (PBE) of a relaxed RbBeNb3 crystal.

a b c (Å): 4.733 4.733 4.733
angles (deg): 90.00 90.00 90.00
Each line ends with the local moment (μB).
Element x y z (fractional)
Nb 0.000 0.000 0.500  0.35
Nb 0.000 0.500 0.000  0.33
Nb 0.500 0.000 0.000  0.50
Rb 0.500 0.500 0.500  0.07
Be 0.000 0.000 0.000  0.04

Density of states at the Fermi level   1.666 states/eV per atom
Size of the total moment   1.68 μB/f.u.

---

Here is how they stack up, most stable first: b), a).

---

a) The following is a DFT calculation (PBE) of a relaxed Be3NbRe crystal.

a b c (Å): 4.118 4.118 4.118
angles (deg): 90.00 90.00 90.00
Element x y z (fractional)
Be 0.500 0.000 0.000
Be 0.000 0.500 0.000
Be 0.000 0.000 0.500
Nb 0.500 0.500 0.500
Re 0.000 0.000 0.000

Density of states at the Fermi level   0.770 states/eV per atom
Size of the total moment   0.00 μB/f.u.

---

b) The following is a DFT calculation (PBE) of a relaxed Be3NbRe crystal.

a b c (Å): 4.164 4.164 4.164
angles (deg): 90.00 90.00 90.00
Each line ends with the local moment (μB).
Element x y z (fractional)
Be 0.000 0.000 0.500  -0.01
Be 0.000 0.500 0.000  -0.02
Be 0.500 0.000 0.000  -0.01
Re 0.500 0.500 0.500  1.79
Nb 0.000 0.000 0.000  0.05

Density of states at the Fermi level   0.248 states/eV per atom
Size of the total moment   2.03 μB/f.u.

---

Here is how they stack up, most stable first: a), b).

---

a) The following is a DFT calculation (PBE) of a relaxed BeNb3Re crystal.

a b c (Å): 4.378 4.378 4.378
angles (deg): 90.00 90.00 90.00
Element x y z (fractional)
Nb 0.000 0.000 0.500
Nb 0.500 0.000 0.000
Nb 0.000 0.500 0.000
Be 0.000 0.000 0.000
Re 0.500 0.500 0.500

Density of states at the Fermi level   1.618 states/eV per atom
Size of the total moment   0.00 μB/f.u.

---

b) The following is a DFT calculation (PBE) of a relaxed BeNb3Re crystal.

a b c (Å): 4.840 4.840 4.840
angles (deg): 90.00 90.00 90.00
Element x y z (fractional)
Be 0.500 0.500 0.500
Re 0.000 0.000 0.000
Nb 0.500 0.000 0.000
Nb 0.000 0.500 0.000
Nb 0.000 0.000 0.500

Density of states at the Fermi level   0.815 states/eV per atom
Size of the total moment   0.00 μB/f.u.

---

Here is how they stack up, most stable first: a), b).

---

a) The following is a DFT calculation (PBE) of a relaxed BeNb3Ru crystal.

a b c (Å): 4.374 4.374 4.374
angles (deg): 90.00 90.00 90.00
Element x y z (fractional)
Ru 0.500 0.500 0.500
Nb 0.500 0.000 0.000
Nb 0.000 0.500 0.000
Nb 0.000 0.000 0.500
Be 0.000 0.000 0.000

Density of states at the Fermi level   2.347 states/eV per atom
Size of the total moment   0.00 μB/f.u.

---

b) The following is a DFT calculation (PBE) of a relaxed BeNb3Ru crystal.

a b c (Å): 4.778 4.778 4.778
angles (deg): 90.00 90.00 90.00
Element x y z (fractional)
Ru 0.000 0.000 0.000
Nb 0.000 0.500 0.000
Nb 0.500 0.000 0.000
Nb 0.000 0.000 0.500
Be 0.500 0.500 0.500

Density of states at the Fermi level   0.956 states/eV per atom
Size of the total moment   0.00 μB/f.u.

---

Here is how they stack up, most stable first: a), b).

---

a) The following is a DFT calculation (PBE) of a relaxed Be2Nb2Ru crystal.

a b c (Å): 6.297 6.297 3.324
angles (deg): 90.00 90.00 90.00
Element x y z (fractional)
Ru 0.500 0.500 0.000
Ru 0.000 0.000 0.000
Nb 0.825 0.325 0.500
Nb 0.325 0.175 0.500
Nb 0.175 0.675 0.500
Nb 0.675 0.825 0.500
Be 0.878 0.622 0.000
Be 0.622 0.122 0.000
Be 0.378 0.878 0.000
Be 0.122 0.378 0.000

Density of states at the Fermi level   0.050 states/eV per atom
Size of the total moment   0.00 μB/f.u.

---

b) The following is a DFT calculation (PBE) of a relaxed Be2Nb2Ru crystal.

a b c (Å): 2.966 2.966 8.311
angles (deg): 79.72 79.72 90.00
Element x y z (fractional)
Ru 0.000 0.000 0.000
Be 0.750 0.250 0.500
Be 0.250 0.750 0.500
Nb 0.609 0.609 0.782
Nb 0.391 0.391 0.218

Density of states at the Fermi level   0.958 states/eV per atom
Size of the total moment   0.00 μB/f.u.

---

c) The following is a DFT calculation (PBE) of a relaxed Be2Nb2Ru crystal.

a b c (Å): 6.983 6.983 2.941
angles (deg): 90.00 90.00 90.00
Element x y z (fractional)
Ru 0.000 0.000 0.000
Ru 0.500 0.500 0.000
Nb 0.820 0.680 0.000
Nb 0.680 0.180 0.000
Nb 0.320 0.820 0.000
Nb 0.180 0.320 0.000
Be 0.608 0.892 0.500
Be 0.108 0.608 0.500
Be 0.392 0.108 0.500
Be 0.892 0.392 0.500

Density of states at the Fermi level   0.669 states/eV per atom
Size of the total moment   0.00 μB/f.u.

---

Here is how they stack up, most stable first: a), b), c).

---

a) The following is a DFT calculation (PBE) of a relaxed BeNbRu3 crystal.

a b c (Å): 4.113 4.113 4.113
angles (deg): 90.00 90.00 90.00
Element x y z (fractional)
Ru 0.500 0.000 0.000
Ru 0.000 0.500 0.000
Ru 0.000 0.000 0.500
Be 0.000 0.000 0.000
Nb 0.500 0.500 0.500

Density of states at the Fermi level   0.477 states/eV per atom
Size of the total moment   0.00 μB/f.u.

---

b) The following is a DFT calculation (PBE) of a relaxed BeNbRu3 crystal.

a b c (Å): 4.688 4.688 4.688
angles (deg): 90.00 90.00 90.00
Each line ends with the local moment (μB).
Element x y z (fractional)
Ru 0.000 0.000 0.500  0.91
Ru 0.000 0.500 0.000  0.90
Ru 0.500 0.000 0.000  0.71
Be 0.500 0.500 0.500  -0.04
Nb 0.000 0.000 0.000  -0.16

Density of states at the Fermi level   1.246 states/eV per atom
Size of the total moment   2.37 μB/f.u.

---

Here is how they stack up, most stable first: a), b).

---

a) The following is a DFT calculation (PBE) of a relaxed Be3NbRu crystal.

a b c (Å): 4.037 4.037 4.037
angles (deg): 90.00 90.00 90.00
Element x y z (fractional)
Be 0.500 0.000 0.000
Be 0.000 0.000 0.500
Be 0.000 0.500 0.000
Ru 0.000 0.000 0.000
Nb 0.500 0.500 0.500

Density of states at the Fermi level   0.460 states/eV per atom
Size of the total moment   0.00 μB/f.u.

---

b) The following is a DFT calculation (PBE) of a relaxed Be3NbRu crystal.

a b c (Å): 4.214 4.214 4.214
angles (deg): 90.00 90.00 90.00
Each line ends with the local moment (μB).
Element x y z (fractional)
Ru 0.500 0.500 0.500  1.35
Be 0.500 0.000 0.000  -0.01
Be 0.000 0.500 0.000  -0.02
Be 0.000 0.000 0.500  -0.01
Nb 0.000 0.000 0.000  -0.02

Density of states at the Fermi level   1.820 states/eV per atom
Size of the total moment   1.36 μB/f.u.

---

Here is how they stack up, most stable first: a), b).

---

a) The following is a DFT calculation (PBE) of a relaxed BeNbS crystal.

a b c (Å): 7.460 3.117 8.737
angles (deg): 90.00 123.07 90.00
Element x y z (fractional)
Be 0.163 0.500 0.848
Be 0.239 0.500 0.616
Be 0.239 0.000 0.116
Be 0.163 0.000 0.348
Nb 0.522 0.000 0.943
Nb 0.858 0.500 0.313
Nb 0.522 0.500 0.443
Nb 0.858 0.000 0.813
S 0.839 0.000 0.526
S 0.839 0.500 0.026
S 0.456 0.500 0.132
S 0.456 0.000 0.632

Density of states at the Fermi level   0.155 states/eV per atom
Size of the total moment   0.00 μB/f.u.

---

b) The following is a DFT calculation (PBE) of a relaxed BeNbS crystal.

a b c (Å): 6.657 3.274 8.894
angles (deg): 90.00 117.01 90.00
Element x y z (fractional)
Be 0.796 0.000 0.014
Be 0.824 0.500 0.184
Be 0.796 0.500 0.514
Be 0.824 0.000 0.684
Nb 0.140 0.500 0.111
Nb 0.460 0.500 0.920
Nb 0.460 0.000 0.420
Nb 0.140 0.000 0.611
S 0.563 0.000 0.751
S 0.140 0.500 0.396
S 0.563 0.500 0.251
S 0.140 0.000 0.896

Density of states at the Fermi level   0.384 states/eV per atom
Size of the total moment   0.00 μB/f.u.

---

Here is how they stack up, most stable first: b), a).

---

a) The following is a DFT calculation (PBE) of a relaxed BeNbS crystal.

a b c (Å): 3.295 3.295 13.004
angles (deg): 90.00 90.00 120.00
Element x y z (fractional)
Nb 0.667 0.333 0.794
Nb 0.333 0.667 0.127
Nb 0.000 0.000 0.461
S 0.667 0.333 0.992
S 0.333 0.667 0.325
S 0.000 0.000 0.659
Be 0.667 0.333 0.589
Be 0.000 0.000 0.256
Be 0.333 0.667 0.923

Density of states at the Fermi level   0.508 states/eV per atom
Size of the total moment   0.00 μB/f.u.

---

b) The following is a DFT calculation (PBE) of a relaxed BeNbS crystal.

a b c (Å): 6.039 3.291 8.710
angles (deg): 90.00 109.26 90.00
Element x y z (fractional)
Be 0.218 0.500 0.920
Be 0.140 0.500 0.644
Be 0.140 0.000 0.144
Be 0.218 0.000 0.420
Nb 0.462 0.500 0.240
Nb 0.829 0.000 0.525
Nb 0.829 0.500 0.025
Nb 0.462 0.000 0.740
S 0.505 0.500 0.534
S 0.923 0.500 0.335
S 0.505 0.000 0.034
S 0.923 0.000 0.835

Density of states at the Fermi level   0.170 states/eV per atom
Size of the total moment   0.00 μB/f.u.

---

c) The following is a DFT calculation (PBE) of a relaxed BeNbS crystal.

a b c (Å): 6.480 3.300 9.149
angles (deg): 90.00 118.41 90.00
Element x y z (fractional)
Be 0.028 0.000 0.902
Be 0.972 0.000 0.098
Be 0.028 0.500 0.402
Be 0.972 0.500 0.598
S 0.274 0.500 0.818
S 0.274 0.000 0.318
S 0.726 0.000 0.682
S 0.726 0.500 0.182
Nb 0.694 0.500 0.883
Nb 0.694 0.000 0.383
Nb 0.306 0.500 0.117
Nb 0.306 0.000 0.617

Density of states at the Fermi level   0.305 states/eV per atom
Size of the total moment   0.00 μB/f.u.

---

Here is how they stack up, most stable first: a), c), b).